Run P
# LiNi2Os

A relaxed LiNi2Os crystal (PBEsol, Alexandria via LeMat-Bulk).

Cell: 8.338 2.485 4.501 Å, 90.00 96.83 90.00°
Space group C2/m (No. 12)
Asymmetric unit:
Li  0.000  0.000  0.000
Ni  0.246  0.000  0.742
Os  0.000  0.500  0.500


Run Q
# LiNi2Os

A relaxed LiNi2Os crystal (PBEsol, Alexandria via LeMat-Bulk).

Cell: 5.102 7.190 2.514 Å, 90.00 90.00 90.00°
Space group Cmmm (No. 65)
Asymmetric unit:
Li  0.000  0.000  0.000
Ni  0.250  0.250  0.500
Os  0.000  0.500  0.000


Run R
# LiNi2Os

A relaxed LiNi2Os crystal (PBEsol, Alexandria via LeMat-Bulk).

Cell: 8.892 2.518 4.336 Å, 90.00 104.89 90.00°
Space group Cm (No. 8)
Asymmetric unit:
Li  0.000  0.000  0.000
Ni  0.028  0.500  0.509
Ni  0.242  0.000  0.860
Os  0.285  0.500  0.375


Run S
# LiNi2Os

A relaxed LiNi2Os crystal (PBEsol, Alexandria via LeMat-Bulk).

Cell: 2.516 4.146 4.419 Å, 90.00 90.00 90.00°
Space group Pmm2 (No. 25)
Asymmetric unit:
Li  0.000  0.000  0.000
Ni  0.500  0.000  0.485
Ni  0.500  0.500  0.127
Os  0.000  0.500  0.632


Energetically preferred structure: run S | next structure: +21 meV/atom


Run P
# Li2NiPt

A relaxed Li2NiPt crystal (PBEsol, Alexandria via LeMat-Bulk).

Cell: 5.056 8.445 2.613 Å, 90.00 117.71 90.00°
Space group C2/m (No. 12)
Asymmetric unit:
Li  0.250  0.250  0.000
Ni  0.000  0.000  0.500
Pt  0.000  0.500  0.500


Run Q
# Li2NiPt

A relaxed Li2NiPt crystal (PBEsol, Alexandria via LeMat-Bulk).

Cell: 2.711 4.295 8.368 Å, 90.00 90.00 90.00°
Space group Immm (No. 71)
Asymmetric unit:
Li  0.000  0.000  0.241
Ni  0.000  0.500  0.500
Pt  0.000  0.500  0.000


Run R
# Li2NiPt

A relaxed Li2NiPt crystal (PBEsol, Alexandria via LeMat-Bulk).

Cell: 2.713 4.202 4.294 Å, 90.00 90.00 90.00°
Space group Pmmm (No. 47)
Asymmetric unit:
Li  0.000  0.000  0.000
Li  0.500  0.000  0.500
Ni  0.000  0.500  0.500
Pt  0.500  0.500  0.000


Energetically preferred structure: run Q | next structure: +7 meV/atom


Run P
# Li2NiPt

A relaxed Li2NiPt crystal (PBEsol, Alexandria via LeMat-Bulk).

Cell: 2.607 4.220 4.486 Å, 90.00 92.98 90.00°
Space group P2/m (No. 10)
Asymmetric unit:
Li  0.218  0.000  0.250
Ni  0.000  0.500  0.500
Pt  0.500  0.500  0.000


Run Q
# Li2NiPt

A relaxed Li2NiPt crystal (PBEsol, Alexandria via LeMat-Bulk).

Cell: 2.705 4.449 8.395 Å, 90.00 90.00 90.00°
Space group Cmmm (No. 65)
Asymmetric unit:
Li  0.000  0.000  0.242
Ni  0.000  0.500  0.000
Pt  0.000  0.500  0.500


Run R
# Li2NiPt

A relaxed Li2NiPt crystal (PBEsol, Alexandria via LeMat-Bulk).

Cell: 9.249 2.644 4.514 Å, 90.00 115.87 90.00°
Space group Cm (No. 8)
Asymmetric unit:
Li  0.000  0.000  0.000
Li  0.236  0.000  0.905
Ni  0.491  0.000  0.472
Pt  0.253  0.500  0.428


Energetically preferred structure: run P | next structure: +12 meV/atom


Run P
# LiRe2Ni

A relaxed LiRe2Ni crystal (PBEsol, Alexandria via LeMat-Bulk).

Cell: 8.704 2.533 4.738 Å, 90.00 95.85 90.00°
Space group Cm (No. 8)
Asymmetric unit:
Li  0.000  0.000  0.000
Re  0.243  0.000  0.731
Re  0.483  0.000  0.490
Ni  0.254  0.500  0.211


Run Q
# LiRe2Ni

A relaxed LiRe2Ni crystal (PBEsol, Alexandria via LeMat-Bulk).

Cell: 3.583 3.583 7.885 Å, 90.00 90.00 90.00°
Space group I4/mmm (No. 139)
Asymmetric unit:
Li  0.000  0.000  0.000
Re  0.000  0.500  0.250
Ni  0.000  0.000  0.500


Run R
# LiRe2Ni

A relaxed LiRe2Ni crystal (PBEsol, Alexandria via LeMat-Bulk).

Cell: 4.166 4.166 5.916 Å, 90.00 90.00 90.00°
Space group I-4m2 (No. 119)
Asymmetric unit:
Li  0.000  0.000  0.000
Re  0.000  0.000  0.500
Re  0.000  0.500  0.250
Ni  0.000  0.500  0.750


Energetically preferred structure: run R | next structure: +35 meV/atom